Record 1
Compound: TmLuHgC
Source: the Open Quantum Materials Database
Functional: PBE
Structure: relaxed

Unit cell a=3.5316 b=3.5316 c=15.4839 alpha=90.00 beta=90.00 gamma=120.00
Last column: magnetic moment on the atom in μB.
Element x y z (fractional)
C 0.0000 0.0000 0.0000  0.00
C 0.0000 0.0000 0.5000  0.01
Hg 0.6667 0.3333 0.2507  0.07
Hg 0.3333 0.6667 0.7493  0.07
Lu 0.3333 0.6667 0.4155  0.17
Lu 0.6667 0.3333 0.5845  0.17
Tm 0.3333 0.6667 0.0860  0.23
Tm 0.6667 0.3333 0.9140  0.23

Results
Total moment in Bohr magnetons per cell: 1.43
E in eV for the cell shown: -40.5



Record 2
Compound: Zr4CdInO2
Source: the Open Quantum Materials Database
Functional: PBE
Structure: relaxed

Unit cell a=3.2994 b=3.2994 c=14.9044 alpha=90.00 beta=90.00 gamma=120.00
Element x y z (fractional)
Cd 0.3333 0.6667 0.0000
In 0.6667 0.3333 0.5000
O 0.0000 0.0000 0.2483
O 0.0000 0.0000 0.7517
Zr 0.6667 0.3333 0.1648
Zr 0.3333 0.6667 0.3361
Zr 0.3333 0.6667 0.6639
Zr 0.6667 0.3333 0.8352

Results
Total moment in Bohr magnetons per cell: 0.01
E in eV for the cell shown: -57.9



Record 3
Compound: CuAg19
Source: the Open Quantum Materials Database
Functional: PBE
Structure: relaxed

Unit cell a=6.5489 b=7.7620 c=14.5649 alpha=79.04 beta=77.13 gamma=85.19
Element x y z (fractional)
Ag 0.5000 0.5000 0.0000
Ag 0.7409 0.7575 0.0478
Ag 0.8730 0.3731 0.0735
Ag 0.9977 0.0003 0.0971
Ag 0.1270 0.6300 0.1217
Ag 0.2544 0.2508 0.1476
Ag 0.3765 0.8810 0.1679
Ag 0.5003 0.5017 0.1993
Ag 0.6256 0.1248 0.2204
Ag 0.7500 0.7502 0.2486
Ag 0.8769 0.3753 0.2731
Ag 0.0010 0.0007 0.2979
Ag 0.1263 0.6266 0.3233
Ag 0.2510 0.2501 0.3490
Ag 0.3756 0.8756 0.3731
Ag 0.5004 0.5000 0.3997
Ag 0.6256 0.1249 0.4239
Ag 0.7501 0.7504 0.4496
Ag 0.8753 0.3749 0.4748
Ag 0.0000 0.0000 0.5000
Ag 0.1247 0.6251 0.5252
Ag 0.2499 0.2496 0.5504
Ag 0.3744 0.8751 0.5761
Ag 0.4996 0.5000 0.6003
Ag 0.6244 0.1244 0.6269
Ag 0.7490 0.7499 0.6510
Ag 0.8737 0.3734 0.6767
Ag 0.9990 0.9993 0.7021
Ag 0.1231 0.6247 0.7269
Ag 0.2500 0.2498 0.7514
Ag 0.3744 0.8752 0.7796
Ag 0.4997 0.4983 0.8007
Ag 0.6235 0.1190 0.8321
Ag 0.7456 0.7492 0.8524
Ag 0.8730 0.3700 0.8783
Ag 0.0023 0.9997 0.9029
Ag 0.1270 0.6269 0.9265
Ag 0.2591 0.2424 0.9522
Cu 0.6226 0.1218 0.0242
Cu 0.3774 0.8782 0.9758

Results
E in eV for the cell shown: -114.2
Energy of formation in eV per atom: 0.01